Below is a crystal of BaTlRh relaxed with PBEsol, with properties calculated at the meta-GGA SCAN level.

Properties
The space group is P3m1. The value obtained for the energy is -48.84 eV/atom. The formation energy is -0.2804 eV/atom.

abc: 4.6210 4.6210 4.6641
angles: 90.00 90.00 120.00
Fractional positions:
Ba: 0.0000 0.0000 0.0000
Tl: 0.6667 0.3333 0.4999
Rh: 0.3333 0.6667 0.5015